No. 1
CePrErTh: optimized geometry, PBE.

```
CePrErTh
1.0
0.000 4.015 4.015
4.015 0.000 4.015
4.015 4.015 0.000
Ce Pr Er Th
1 1 1 1
Cartesian
0.000 0.000 0.000 Ce
6.022 6.022 6.022 Pr
4.015 4.015 4.015 Er
2.007 2.007 2.007 Th
```

Offset from the most stable computed form = 175.0 meV per atom
DFT formation energy = 0.221 eV/atom
Raw total energy = -21.81 eV for the cell shown

No. 2
TcAgP: optimized geometry, PBE.

```
TcAgP
1.0
3.961 0.000 0.000
-1.981 3.430 0.000
0.000 0.000 3.558
Tc Ag P
1 1 1
Cartesian
0.000 0.000 0.000 Tc
0.000 2.287 1.808 Ag
1.981 1.143 0.188 P
```

Offset from the most stable computed form = 44.4 meV per atom
DFT formation energy = 0.091 eV/atom
Raw total energy = -18.35 eV for the cell shown